Hf12Cu5Bi3: relaxed, PBE.

a b c (Å): 13.6218 13.6218 13.6218
angles (deg): 109.47 109.47 109.47
Closest atoms and distances in Å follow each position.
Element x y z (fractional)
Hf  0.0338  0.2064  0.1118  2 Cu 2.47-2.50
Hf  0.0338  0.3274  0.9220  2 Cu 2.47-2.50
Hf  0.0780  0.6118  0.4054  2 Cu 2.47-2.50
Hf  0.0780  0.9662  0.6726  2 Cu 2.47-2.50
Hf  0.0946  0.7064  0.6726  2 Cu 2.47-2.50
Hf  0.0946  0.8882  0.4220  2 Cu 2.47-2.50
Hf  0.1118  0.0338  0.2064  2 Cu 2.47-2.50
Hf  0.1118  0.5780  0.9054  2 Cu 2.47-2.50
Hf  0.1726  0.2064  0.5946  2 Cu 2.47-2.50
Hf  0.1726  0.4662  0.5780  2 Cu 2.47-2.50
Hf  0.2064  0.1118  0.0338  2 Cu 2.47-2.50
Hf  0.2064  0.5946  0.1726  2 Cu 2.47-2.50
Hf  0.2936  0.3274  0.9054  2 Cu 2.47-2.50
Hf  0.2936  0.4662  0.3882  2 Cu 2.47-2.50
Hf  0.3274  0.9054  0.2936  2 Cu 2.47-2.50
Hf  0.3274  0.9220  0.0338  2 Cu 2.47-2.50
Hf  0.3882  0.2936  0.4662  2 Cu 2.47-2.50
Hf  0.3882  0.5946  0.9220  2 Cu 2.47-2.50
Hf  0.4054  0.0780  0.6118  2 Cu 2.47-2.50
Hf  0.4054  0.8274  0.7936  2 Cu 2.47-2.50
Hf  0.4220  0.0946  0.8882  2 Cu 2.47-2.50
Hf  0.4220  0.8274  0.5338  2 Cu 2.47-2.50
Hf  0.4662  0.3882  0.2936  2 Cu 2.47-2.50
Hf  0.4662  0.5780  0.1726  2 Cu 2.47-2.50
Hf  0.5338  0.4220  0.8274  2 Cu 2.47-2.50
Hf  0.5338  0.6118  0.7064  2 Cu 2.47-2.50
Hf  0.5780  0.1726  0.4662  2 Cu 2.47-2.50
Hf  0.5780  0.9054  0.1118  2 Cu 2.47-2.50
Hf  0.5946  0.1726  0.2064  2 Cu 2.47-2.50
Hf  0.5946  0.9220  0.3882  2 Cu 2.47-2.50
Hf  0.6118  0.4054  0.0780  2 Cu 2.47-2.50
Hf  0.6118  0.7064  0.5338  2 Cu 2.47-2.50
Hf  0.6726  0.0780  0.9662  2 Cu 2.47-2.50
Hf  0.6726  0.0946  0.7064  2 Cu 2.47-2.50
Hf  0.7064  0.5338  0.6118  2 Cu 2.47-2.50
Hf  0.7064  0.6726  0.0946  2 Cu 2.47-2.50
Hf  0.7936  0.4054  0.8274  2 Cu 2.47-2.50
Hf  0.7936  0.8882  0.9662  2 Cu 2.47-2.50
Hf  0.8274  0.5338  0.4220  2 Cu 2.47-2.50
Hf  0.8274  0.7936  0.4054  2 Cu 2.47-2.50
Hf  0.8882  0.4220  0.0946  2 Cu 2.47-2.50
Hf  0.8882  0.9662  0.7936  2 Cu 2.47-2.50
Hf  0.9054  0.1118  0.5780  2 Cu 2.47-2.50
Hf  0.9054  0.2936  0.3274  2 Cu 2.47-2.50
Hf  0.9220  0.0338  0.3274  2 Cu 2.47-2.50
Hf  0.9220  0.3882  0.5946  2 Cu 2.47-2.50
Hf  0.9662  0.6726  0.0780  2 Cu 2.47-2.50
Hf  0.9662  0.7936  0.8882  2 Cu 2.47-2.50
Cu  0.0000  0.0000  0.0000  6 Hf 2.50
Cu  0.0000  0.0000  0.5000  6 Hf 2.50
Cu  0.0000  0.5000  0.0000  6 Hf 2.50
Cu  0.0000  0.5000  0.5000  6 Hf 2.50
Cu  0.1250  0.7500  0.8750  4 Hf 2.47
Cu  0.1250  0.8750  0.2500  4 Hf 2.47
Cu  0.2500  0.1250  0.8750  4 Hf 2.47
Cu  0.2500  0.6250  0.3750  4 Hf 2.47
Cu  0.3750  0.2500  0.6250  4 Hf 2.47
Cu  0.3750  0.6250  0.7500  4 Hf 2.47
Cu  0.5000  0.0000  0.0000  6 Hf 2.50
Cu  0.5000  0.0000  0.5000  6 Hf 2.50
Cu  0.5000  0.5000  0.0000  6 Hf 2.50
Cu  0.5000  0.5000  0.5000  6 Hf 2.50
Cu  0.6250  0.3750  0.2500  4 Hf 2.47
Cu  0.6250  0.7500  0.3750  4 Hf 2.47
Cu  0.7500  0.3750  0.6250  4 Hf 2.47
Cu  0.7500  0.8750  0.1250  4 Hf 2.47
Cu  0.8750  0.1250  0.7500  4 Hf 2.47
Cu  0.8750  0.2500  0.1250  4 Hf 2.47
Bi  0.1250  0.2500  0.3750  8 Hf 2.97-3.14
Bi  0.1250  0.3750  0.7500  8 Hf 2.97-3.14
Bi  0.2500  0.3750  0.1250  8 Hf 2.97-3.14
Bi  0.2500  0.8750  0.6250  8 Hf 2.97-3.14
Bi  0.3750  0.1250  0.2500  8 Hf 2.97-3.14
Bi  0.3750  0.7500  0.1250  8 Hf 2.97-3.14
Bi  0.6250  0.2500  0.8750  8 Hf 2.97-3.14
Bi  0.6250  0.8750  0.7500  8 Hf 2.97-3.14
Bi  0.7500  0.1250  0.3750  8 Hf 2.97-3.14
Bi  0.7500  0.6250  0.8750  8 Hf 2.97-3.14
Bi  0.8750  0.6250  0.2500  8 Hf 2.97-3.14
Bi  0.8750  0.7500  0.6250  8 Hf 2.97-3.14

Calculated values
E in eV per atom: -6.996
DOS(E_F) in states/eV/f.u.: 22.7


Al13Tc2: relaxed, PBE.

a b c (Å): 5.1564 7.1944 7.2433
angles (deg): 106.21 91.57 92.01
Closest atoms and distances in Å follow each position.
Element x y z (fractional)
Al  0.0000  0.0000  0.0000  2 Tc 2.48, 2 Al 2.70
Al  0.0081  0.8318  0.3565  5 Al 2.57-2.84, 2 Tc 2.57-2.76
Al  0.2349  0.5440  0.7171  1 Tc 2.56, 4 Al 2.79-2.85
Al  0.2360  0.2461  0.3169  6 Al 2.64-2.94, 2 Tc 2.72-2.81
Al  0.2373  0.5138  0.0995  8 Al 2.75-2.88
Al  0.4885  0.8253  0.0204  8 Al 2.61-2.91, 2 Tc 2.63-2.69
Al  0.4974  0.1893  0.6139  7 Al 2.57-2.85, 2 Tc 2.61-2.65
Al  0.5026  0.8107  0.3861  7 Al 2.57-2.85, 2 Tc 2.61-2.65
Al  0.5115  0.1747  0.9796  8 Al 2.61-2.91, 2 Tc 2.63-2.69
Al  0.7627  0.4862  0.9005  8 Al 2.75-2.88
Al  0.7640  0.7539  0.6831  6 Al 2.64-2.94, 2 Tc 2.72-2.81
Al  0.7651  0.4560  0.2829  1 Tc 2.56, 4 Al 2.79-2.85
Al  0.9919  0.1682  0.6435  5 Al 2.57-2.84, 2 Tc 2.57-2.76
Tc  0.2624  0.8985  0.7100  9 Al 2.48-2.76
Tc  0.7376  0.1015  0.2900  9 Al 2.48-2.76

Calculated values
E in eV per atom: -4.776
DOS(E_F) in states/eV/f.u.: 4.9


ZrTl2Cl6: relaxed, PBE.

a b c (Å): 7.2252 8.1209 12.1483
angles (deg): 90.00 124.12 90.00
Closest atoms and distances in Å follow each position.
Element x y z (fractional)
Zr  0.0000  0.0000  0.0000  6 Cl 2.49-2.50
Zr  0.0000  0.5000  0.5000  6 Cl 2.49-2.50
Tl  0.2723  0.0866  0.7490  8 Cl 3.25-3.55
Tl  0.2723  0.4134  0.2490  8 Cl 3.25-3.55
Tl  0.7277  0.5866  0.7510  8 Cl 3.25-3.55
Tl  0.7277  0.9134  0.2510  8 Cl 3.25-3.55
Cl  0.1501  0.0270  0.2405  1 Zr 2.49
Cl  0.1501  0.4730  0.7405  1 Zr 2.49
Cl  0.2132  0.7384  0.0468  1 Zr 2.50
Cl  0.2132  0.7616  0.5468  1 Zr 2.50
Cl  0.3256  0.1620  0.0379  1 Zr 2.50
Cl  0.3256  0.3380  0.5379  1 Zr 2.50
Cl  0.6744  0.6620  0.4621  1 Zr 2.50
Cl  0.6744  0.8380  0.9621  1 Zr 2.50
Cl  0.7868  0.2384  0.4532  1 Zr 2.50
Cl  0.7868  0.2616  0.9532  1 Zr 2.50
Cl  0.8499  0.5270  0.2595  1 Zr 2.49
Cl  0.8499  0.9730  0.7595  1 Zr 2.49

Calculated values
Uncorrected formation energy in kcal/mol of atoms: -34.791
Excess energy over the best structure of this formula in the dataset in meV/atom: 0
DOS(E_F) in states/eV/f.u.: 0.0


La2AlCo: relaxed, PBE.

a b c (Å): 4.9762 4.9762 4.9762
angles (deg): 60.00 60.00 60.00
Closest atoms and distances in Å follow each position.
Element x y z (fractional)
La  0.0000  0.0000  0.0000  4 La 3.05, 4 Co 3.05
La  0.2500  0.2500  0.2500  4 La 3.05, 4 Al 3.05
Al  0.5000  0.5000  0.5000  4 La 3.05, 4 Co 3.05
Co  0.7500  0.7500  0.7500  4 La 3.05, 4 Al 3.05

Calculated values
Excess energy over the best structure of this formula in the dataset in meV/atom: 204
DOS(E_F) in states/eV/f.u.: 0.2


CrBH3: relaxed, PBE.

a b c (Å): 3.1426 3.1426 3.1426
angles (deg): 90.00 90.00 90.00
Closest atoms and distances in Å follow each position.
Element x y z (fractional)
Cr  0.0000  0.0000  0.0000  6 H 1.57
B  0.5000  0.5000  0.5000  12 H 2.22
H  0.0000  0.0000  0.5000  2 Cr 1.57
H  0.0000  0.5000  0.0000  2 Cr 1.57
H  0.5000  0.0000  0.0000  2 Cr 1.57

Calculated values
Excess energy over the best structure of this formula in the dataset in meV/atom: 273
DOS(E_F) in states/eV/f.u.: 1.6


Ca2SiPd: relaxed, PBE.

a b c (Å): 6.3872 6.3872 6.3872
angles (deg): 103.77 103.77 121.59
Closest atoms and distances in Å follow each position.
Element x y z (fractional)
Ca  0.1091  0.6250  0.9841  2 Pd 2.81, 2 Si 2.98, 2 Ca 3.13
Ca  0.3750  0.3591  0.4841  2 Pd 2.81, 2 Si 2.98, 2 Ca 3.13
Ca  0.6409  0.1250  0.0159  2 Pd 2.81, 2 Si 2.98, 2 Ca 3.13
Ca  0.8750  0.8909  0.5159  2 Pd 2.81, 2 Si 2.98, 2 Ca 3.13
Si  0.2500  0.7500  0.5000  4 Ca 2.98, 2 Pd 3.12
Si  0.5000  0.5000  0.0000  4 Ca 2.98, 2 Pd 3.12
Pd  0.0000  0.0000  0.0000  4 Ca 2.81, 2 Si 3.12
Pd  0.7500  0.2500  0.5000  4 Ca 2.81, 2 Si 3.12

Calculated values
Uncorrected formation energy in kcal/mol of atoms: -2.783
DOS(E_F) in states/eV/f.u.: 1.9


AcCu2Ni3: relaxed, PBE.

a b c (Å): 13.4607 13.4607 13.4607
angles (deg): 163.35 163.35 23.63
Closest atoms and distances in Å follow each position.
Element x y z (fractional)
Ac  0.1461  0.1461  0.0000  8 Ni 3.01-3.34, 8 Cu 3.05-3.36
Ac  0.8539  0.8539  0.0000  8 Ni 3.01-3.34, 8 Cu 3.05-3.36
Cu  0.2500  0.7500  0.5000  4 Ni 2.47, 4 Cu 2.76
Cu  0.4034  0.4034  0.0000  5 Ni 2.40-2.52
Cu  0.5966  0.5966  0.0000  5 Ni 2.40-2.52
Cu  0.7500  0.2500  0.5000  4 Ni 2.47, 4 Cu 2.76
Ni  0.0434  0.5434  0.5000  1 Ni 2.29, 2 Cu 2.40
Ni  0.3079  0.3079  0.0000  5 Cu 2.47-2.52
Ni  0.4566  0.9566  0.5000  1 Ni 2.29, 2 Cu 2.40
Ni  0.5434  0.0434  0.5000  1 Ni 2.29, 2 Cu 2.40
Ni  0.6921  0.6921  0.0000  5 Cu 2.47-2.52
Ni  0.9566  0.4566  0.5000  1 Ni 2.29, 2 Cu 2.40

Calculated values
Excess energy over the best structure of this formula in the dataset in meV/atom: 351
DOS(E_F) in states/eV/f.u.: 6.4


CsVCl6: relaxed, PBE.

a b c (Å): 7.4135 7.4135 7.4135
angles (deg): 55.55 55.55 55.55
Closest atoms and distances in Å follow each position.
Element x y z (fractional)
Cs  0.0000  0.0000  0.0000  12 Cl 3.90
V  0.5000  0.5000  0.5000  6 Cl 2.28
Cl  0.1186  0.5857  0.5857  1 V 2.28
Cl  0.4143  0.4143  0.8814  1 V 2.28
Cl  0.4143  0.8814  0.4143  1 V 2.28
Cl  0.5857  0.1186  0.5857  1 V 2.28
Cl  0.5857  0.5857  0.1186  1 V 2.28
Cl  0.8814  0.4143  0.4143  1 V 2.28

Calculated values
Uncorrected formation energy in kcal/mol of atoms: -28.826


Te2AsBr: relaxed, PBE.

a b c (Å): 4.3050 5.9356 5.9991
angles (deg): 98.55 95.06 100.94
Closest atoms and distances in Å follow each position.
Element x y z (fractional)
Te  0.0000  0.0000  0.0000  1 As 2.66, 1 Te 2.77
Te  0.3002  0.2048  0.6697  2 As 2.76-2.99, 1 Te 2.77
As  0.8513  0.4066  0.9554  1 Br 2.60, 2 Te 2.66-2.76
Br  0.5898  0.5623  0.3049  1 As 2.60

Calculated values
Uncorrected formation energy in kcal/mol of atoms: -1.532
Excess energy over the best structure of this formula in the dataset in meV/atom: 0


AcMgZnPd: relaxed, PBE.

a b c (Å): 5.1137 5.1137 5.1137
angles (deg): 60.00 60.00 60.00
Closest atoms and distances in Å follow each position.
Element x y z (fractional)
Ac  0.0000  0.0000  0.0000  4 Pd 3.13, 4 Zn 3.13
Mg  0.5000  0.5000  0.5000  4 Pd 3.13, 4 Zn 3.13
Zn  0.2500  0.2500  0.2500  4 Mg 3.13, 4 Ac 3.13
Pd  0.7500  0.7500  0.7500  4 Ac 3.13, 4 Mg 3.13

Calculated values
Excess energy over the best structure of this formula in the dataset in meV/atom: 110
DOS(E_F) in states/eV/f.u.: 2.9


SmDyAlCd: relaxed, PBE.

a b c (Å): 5.2564 5.2564 5.2564
angles (deg): 60.00 60.00 60.00
Closest atoms and distances in Å follow each position.
Element x y z (fractional)
Sm  0.0000  0.0000  0.0000  4 Al 3.22, 4 Cd 3.22
Dy  0.5000  0.5000  0.5000  4 Cd 3.22, 4 Al 3.22
Al  0.2500  0.2500  0.2500  4 Dy 3.22, 4 Sm 3.22
Cd  0.7500  0.7500  0.7500  4 Dy 3.22, 4 Sm 3.22

Calculated values
Excess energy over the best structure of this formula in the dataset in meV/atom: 12
DOS(E_F) in states/eV/f.u.: 3.3


The records above yield total moment values of 0.000; 0.000; 0.000; 0.000; 0.000; 0.000; 0.845; 0.000; 0.000; 0.000; 0.000 μB/f.u., respectively.